A relaxed PmDyH crystal. Source: Alexandria, functional PBE.

POSCAR file:
```
PmDyH
1.0
3.6687 0.0000 0.0000
-1.8343 3.1772 0.0000
0.0000 0.0000 5.7081
Dy Pm H
1 1 1
Cartesian
1.8344 1.0591 2.4470
0.0000 0.0000 5.2078
0.0000 2.1181 3.7614
```

Calculated values
energy relative to the lowest polymorph listed for this composition: 0.01 eV per formula unit
E_tot: -4.4584 eV per atom
crystal system: trigonal